SrAl2Pb | GGA-PBE | relaxed

a = 3.8356 Å, b = 3.9898 Å, c = 7.1944 Å
α = 90.00°, β = 90.00°, γ = 90.00°
Closest atoms and distances in Å follow each position.
Element x y z (fractional)
Pb 0.5000 0.5000 0.2500  8 Al 3.10
Sr 0.5000 0.5000 0.7500  8 Al 3.54, 2 Pb 3.60, 2 Sr 3.84
Al 0.0000 0.0000 0.0562  1 Al 2.79, 4 Pb 3.10
Al 0.0000 0.0000 0.4438  1 Al 2.79, 4 Pb 3.10

## Properties
D(E_F) = 0.38 states/eV per atom
size of the total moment = 0.000 μB per formula unit
formation energy from the elements = -0.02 eV/atom

SrAlPb2 | GGA-PBE | relaxed

a = 3.8810 Å, b = 4.1771 Å, c = 7.2923 Å
α = 90.00°, β = 90.00°, γ = 90.00°
Closest atoms and distances in Å follow each position.
Element x y z (fractional)
Pb 0.0000 0.0000 0.9602  1 Pb 3.07, 4 Al 3.24
Pb 0.0000 0.0000 0.5398  1 Pb 3.07, 4 Al 3.24
Sr 0.5000 0.5000 0.2500  8 Pb 3.55, 2 Al 3.65, 2 Sr 3.88
Al 0.5000 0.5000 0.7500  8 Pb 3.24

## Properties
D(E_F) = 0.38 states/eV per atom
size of the total moment = 0.000 μB per formula unit
formation energy from the elements = -0.13 eV/atom

SrAl2Pb | GGA-PBE | relaxed

a = 5.9190 Å, b = 5.9190 Å, c = 5.9190 Å
α = 134.06°, β = 134.06°, γ = 67.00°
Closest atoms and distances in Å follow each position.
Element x y z (fractional)
Pb 0.5000 0.5000 0.0000  8 Al 3.27-3.38, 4 Sr 3.38
Sr 0.7500 0.2500 0.5000  8 Al 3.27-3.38, 4 Pb 3.38
Al 0.0000 0.0000 0.0000  4 Pb 3.27, 4 Al 3.38, 4 Sr 3.38
Al 0.2500 0.7500 0.5000  4 Sr 3.27, 4 Pb 3.38, 4 Al 3.38

## Properties
D(E_F) = 0.65 states/eV per atom
size of the total moment = 0.000 μB per formula unit
formation energy from the elements = 0.00 eV/atom

SrAlPb3 | GGA-PBE | relaxed

a = 5.5372 Å, b = 5.5372 Å, c = 5.5372 Å
α = 90.00°, β = 90.00°, γ = 90.00°
Closest atoms and distances in Å follow each position.
Element x y z (fractional)
Pb 0.0000 0.5000 0.0000  2 Al 2.77
Pb 0.0000 0.0000 0.5000  2 Al 2.77
Pb 0.5000 0.0000 0.0000  2 Al 2.77
Sr 0.5000 0.5000 0.5000  12 Pb 3.92
Al 0.0000 0.0000 0.0000  6 Pb 2.77

## Properties
energy above the most stable polymorph in this dataset = 0 meV/atom
D(E_F) = 0.58 states/eV per atom
size of the total moment = 0.000 μB per formula unit
formation energy from the elements = 0.03 eV/atom

SrAl2Pb | GGA-PBE | relaxed

a = 5.4625 Å, b = 5.4625 Å, c = 5.6484 Å
α = 70.38°, β = 70.38°, γ = 46.92°
Closest atoms and distances in Å follow each position.
Element x y z (fractional)
Pb 0.7500 0.7500 0.7500  6 Al 3.05-3.09
Sr 0.2500 0.2500 0.2500  8 Al 3.45-3.62, 4 Pb 3.56
Al 0.0148 0.0148 0.8935  2 Al 2.79, 3 Pb 3.05-3.09
Al 0.4852 0.4852 0.6065  2 Al 2.79, 3 Pb 3.05-3.09

## Properties
D(E_F) = 0.51 states/eV per atom
size of the total moment = 0.000 μB per formula unit
formation energy from the elements = -0.02 eV/atom

SrAlPb4 | GGA-PBE | relaxed

a = 6.5254 Å, b = 6.5254 Å, c = 6.5254 Å
α = 60.00°, β = 60.00°, γ = 60.00°
Closest atoms and distances in Å follow each position.
Element x y z (fractional)
Sr 0.7500 0.7500 0.7500  12 Pb 3.82, 4 Al 4.00
Al 0.0000 0.0000 0.0000  12 Pb 3.83, 4 Sr 4.00
Pb 0.8725 0.3758 0.3758  6 Pb 3.24-3.28
Pb 0.3758 0.3758 0.8725  6 Pb 3.24-3.28
Pb 0.3758 0.8725 0.3758  6 Pb 3.24-3.28
Pb 0.3758 0.3758 0.3758  6 Pb 3.24-3.28

## Properties
D(E_F) = 0.55 states/eV per atom
size of the total moment = 0.000 μB per formula unit
formation energy from the elements = 0.02 eV/atom

SrAl3Pb | GGA-PBE | relaxed

a = 5.7465 Å, b = 5.7465 Å, c = 5.7465 Å
α = 90.00°, β = 90.00°, γ = 90.00°
Closest atoms and distances in Å follow each position.
Element x y z (fractional)
Pb 0.5000 0.5000 0.5000  12 Al 4.06
Sr 0.0000 0.0000 0.0000  6 Al 2.87
Al 0.0000 0.5000 0.0000  2 Sr 2.87
Al 0.0000 0.0000 0.5000  2 Sr 2.87
Al 0.5000 0.0000 0.0000  2 Sr 2.87

## Properties
energy above the most stable polymorph in this dataset = 617 meV/atom
D(E_F) = 0.73 states/eV per atom
size of the total moment = 0.000 μB per formula unit
formation energy from the elements = 1.18 eV/atom

Sr5Al2Pb5 | GGA-PBE | relaxed

a = 4.6841 Å, b = 9.0279 Å, c = 10.3151 Å
α = 86.35°, β = 76.88°, γ = 74.96°
Closest atoms and distances in Å follow each position.
Element x y z (fractional)
Sr 0.5000 0.5000 0.5000  4 Al 3.45, 6 Pb 3.53-3.77
Sr 0.3880 0.2987 0.9253  3 Al 3.49-3.63, 7 Pb 3.53-3.59
Sr 0.2954 0.0783 0.3309  5 Pb 3.44-3.57, 1 Al 3.61
Sr 0.7046 0.9217 0.6691  5 Pb 3.44-3.57, 1 Al 3.61
Sr 0.6120 0.7013 0.0747  3 Al 3.49-3.63, 7 Pb 3.53-3.59
Al 0.8654 0.5180 0.7512  3 Pb 2.77-2.82
Al 0.1346 0.4820 0.2488  3 Pb 2.77-2.82
Pb 0.9408 0.7827 0.3357  1 Al 2.77
Pb 0.2519 0.6841 0.8120  2 Al 2.82
Pb 0.7481 0.3159 0.1880  2 Al 2.82
Pb 0.0592 0.2173 0.6643  1 Al 2.77
Pb 0.0000 0.0000 0.0000  2 Pb 3.35, 4 Sr 3.58

## Properties
D(E_F) = 0.44 states/eV per atom
size of the total moment = 0.000 μB per formula unit
formation energy from the elements = -0.39 eV/atom

Sr6Al2Pb | GGA-PBE | relaxed

a = 9.7607 Å, b = 9.7607 Å, c = 9.7607 Å
α = 104.68°, β = 111.30°, γ = 112.54°
Closest atoms and distances in Å follow each position.
Element x y z (fractional)
Sr 0.5463 0.7264 0.8198  3 Al 3.39-3.42, 1 Pb 3.57
Sr 0.4537 0.2736 0.1802  3 Al 3.39-3.42, 1 Pb 3.57
Sr 0.0934 0.2736 0.8198  3 Al 3.39-3.42, 1 Pb 3.57
Sr 0.9066 0.7265 0.1802  3 Al 3.39-3.42, 1 Pb 3.57
Sr 0.8061 0.7493 0.5554  1 Al 3.35, 2 Pb 3.66-3.67
Sr 0.1939 0.2507 0.4446  1 Al 3.35, 2 Pb 3.66-3.67
Sr 0.1939 0.7493 0.9432  1 Al 3.35, 2 Pb 3.66-3.67
Sr 0.8061 0.2507 0.0568  1 Al 3.35, 2 Pb 3.66-3.67
Sr 0.6904 0.3563 0.6659  3 Al 3.38-3.42
Sr 0.3096 0.6437 0.3341  3 Al 3.38-3.42
Sr 0.3096 0.9754 0.6659  3 Al 3.38-3.42
Sr 0.6904 0.0246 0.3341  3 Al 3.38-3.42
Al 0.5000 0.3907 0.8907  1 Al 2.61
Al 0.5000 0.6093 0.1093  1 Al 2.61
Al 0.6699 0.0000 0.6699  8 Sr 3.35-3.42, 1 Pb 3.64, 1 Al 3.74
Al 0.3301 0.0000 0.3301  8 Sr 3.35-3.42, 1 Pb 3.64, 1 Al 3.74
Pb 0.0000 0.5000 0.5000  8 Sr 3.66-3.90
Pb 0.0000 0.0000 0.0000  8 Sr 3.57-3.67, 2 Al 3.64

## Properties
D(E_F) = 0.76 states/eV per atom
size of the total moment = 0.000 μB per formula unit
formation energy from the elements = -0.22 eV/atom

Sr2Al2Pb | GGA-PBE | relaxed

a = 7.7439 Å, b = 7.7439 Å, c = 5.1024 Å
α = 90.00°, β = 90.00°, γ = 90.00°
Closest atoms and distances in Å follow each position.
Element x y z (fractional)
Pb 0.0000 0.0000 0.0000  4 Al 3.08
Pb 0.5000 0.5000 0.0000  4 Al 3.08
Sr 0.1771 0.6771 0.5000  6 Al 3.38-3.47
Sr 0.6771 0.8229 0.5000  6 Al 3.38-3.47
Sr 0.8229 0.3229 0.5000  6 Al 3.38-3.47
Sr 0.3229 0.1771 0.5000  6 Al 3.38-3.47
Al 0.3792 0.8792 0.0000  1 Al 2.65
Al 0.8792 0.6208 0.0000  1 Al 2.65
Al 0.6208 0.1208 0.0000  1 Al 2.65
Al 0.1208 0.3792 0.0000  1 Al 2.65

## Properties
D(E_F) = 0.60 states/eV per atom
size of the total moment = 0.000 μB per formula unit
formation energy from the elements = -0.22 eV/atom

SrAlPb2 | GGA-PBE | relaxed

a = 5.5689 Å, b = 5.5689 Å, c = 5.5689 Å
α = 60.00°, β = 60.00°, γ = 60.00°
Closest atoms and distances in Å follow each position.
Element x y z (fractional)
Pb 0.0000 0.0000 0.0000  4 Pb 3.41, 4 Sr 3.41
Pb 0.2500 0.2500 0.2500  4 Pb 3.41, 4 Al 3.41
Sr 0.7500 0.7500 0.7500  4 Pb 3.41, 4 Al 3.41
Al 0.5000 0.5000 0.5000  4 Pb 3.41, 4 Sr 3.41

## Properties
D(E_F) = 0.67 states/eV per atom
size of the total moment = 0.000 μB per formula unit
formation energy from the elements = -0.07 eV/atom

SrAlPb3 | GGA-PBE | relaxed

a = 6.0883 Å, b = 6.0883 Å, c = 6.0883 Å
α = 90.00°, β = 90.00°, γ = 90.00°
Closest atoms and distances in Å follow each position.
Element x y z (fractional)
Pb 0.0000 0.5000 0.0000  2 Sr 3.04
Pb 0.0000 0.0000 0.5000  2 Sr 3.04
Pb 0.5000 0.0000 0.0000  2 Sr 3.04
Sr 0.0000 0.0000 0.0000  6 Pb 3.04
Al 0.5000 0.5000 0.5000  12 Pb 4.31

## Properties
energy above the most stable polymorph in this dataset = 880 meV/atom
D(E_F) = 1.26 states/eV per atom
size of the total moment = 0.654 μB per formula unit
formation energy from the elements = 0.91 eV/atom

SrAlPb | GGA-PBE | relaxed

a = 5.3119 Å, b = 5.3119 Å, c = 5.3119 Å
α = 60.00°, β = 60.00°, γ = 60.00°
Closest atoms and distances in Å follow each position.
Element x y z (fractional)
Pb 0.5000 0.5000 0.5000  4 Sr 3.25
Sr 0.7500 0.7500 0.7500  4 Al 3.25, 4 Pb 3.25
Al 0.0000 0.0000 0.0000  4 Sr 3.25

## Properties
D(E_F) = 0.90 states/eV per atom
size of the total moment = 0.000 μB per formula unit
formation energy from the elements = 0.26 eV/atom

SrAl2Pb | GGA-PBE | relaxed

a = 4.9625 Å, b = 4.9625 Å, c = 10.9741 Å
α = 76.93°, β = 76.93°, γ = 90.00°
Closest atoms and distances in Å follow each position.
Element x y z (fractional)
Pb 0.0000 0.0000 0.0000  4 Al 2.90
Pb 0.7500 0.2500 0.5000  4 Al 2.90
Sr 0.5000 0.5000 0.0000  4 Pb 3.51, 4 Al 3.58
Sr 0.2500 0.7500 0.5000  4 Pb 3.51, 4 Al 3.58
Al 0.8020 0.1250 0.2500  2 Al 2.58
Al 0.9480 0.6250 0.2500  2 Al 2.58
Al 0.3750 0.1980 0.7500  2 Al 2.58
Al 0.8750 0.0520 0.7500  2 Al 2.58

## Properties
D(E_F) = 0.69 states/eV per atom
size of the total moment = 0.000 μB per formula unit
formation energy from the elements = 0.07 eV/atom

SrAl2Pb2 | GGA-PBE | relaxed

a = 8.6948 Å, b = 8.6948 Å, c = 3.7119 Å
α = 90.00°, β = 90.00°, γ = 90.00°
Closest atoms and distances in Å follow each position.
Element x y z (fractional)
Pb 0.3614 0.8614 0.0000  6 Al 3.13-3.18, 2 Sr 3.37, 1 Pb 3.41
Pb 0.8614 0.6386 0.0000  6 Al 3.13-3.18, 2 Sr 3.37, 1 Pb 3.41
Pb 0.6386 0.1386 0.0000  6 Al 3.13-3.18, 2 Sr 3.37, 1 Pb 3.41
Pb 0.1386 0.3614 0.0000  6 Al 3.13-3.18, 2 Sr 3.37, 1 Pb 3.41
Sr 0.0000 0.0000 0.0000  4 Pb 3.37, 2 Sr 3.71
Sr 0.5000 0.5000 0.0000  4 Pb 3.37, 2 Sr 3.71
Al 0.1511 0.6511 0.5000  6 Pb 3.13-3.18
Al 0.6511 0.8489 0.5000  6 Pb 3.13-3.18
Al 0.8489 0.3489 0.5000  6 Pb 3.13-3.18
Al 0.3489 0.1511 0.5000  6 Pb 3.13-3.18

## Properties
energy above the most stable polymorph in this dataset = 176 meV/atom
D(E_F) = 0.47 states/eV per atom
size of the total moment = 0.000 μB per formula unit
formation energy from the elements = 0.05 eV/atom

SrAlPb2 | GGA-PBE | relaxed

a = 5.3677 Å, b = 5.3677 Å, c = 5.9832 Å
α = 73.36°, β = 73.36°, γ = 48.19°
Closest atoms and distances in Å follow each position.
Element x y z (fractional)
Pb 0.9835 0.9835 0.0652  3 Al 3.11-3.14, 2 Pb 3.20, 3 Sr 3.39-3.48
Pb 0.5165 0.5165 0.4348  3 Al 3.11-3.14, 2 Pb 3.20, 3 Sr 3.39-3.48
Sr 0.7500 0.7500 0.7500  6 Pb 3.39-3.48, 4 Al 3.71
Al 0.2500 0.2500 0.2500  6 Pb 3.11-3.14

## Properties
D(E_F) = 0.35 states/eV per atom
size of the total moment = 0.000 μB per formula unit
formation energy from the elements = -0.16 eV/atom

SrAl2Pb2 | GGA-PBE | relaxed

a = 8.4726 Å, b = 8.4726 Å, c = 3.8196 Å
α = 90.00°, β = 90.00°, γ = 90.00°
Closest atoms and distances in Å follow each position.
Element x y z (fractional)
Pb 0.1731 0.6731 0.5000  6 Al 3.14-3.18
Pb 0.6731 0.8269 0.5000  6 Al 3.14-3.18
Pb 0.8269 0.3269 0.5000  6 Al 3.14-3.18
Pb 0.3269 0.1731 0.5000  6 Al 3.14-3.18
Sr 0.0000 0.0000 0.0000  4 Al 3.41, 8 Pb 3.67
Sr 0.5000 0.5000 0.0000  4 Al 3.41, 8 Pb 3.67
Al 0.3855 0.8855 0.0000  1 Al 2.74
Al 0.8855 0.6145 0.0000  1 Al 2.74
Al 0.6145 0.1145 0.0000  1 Al 2.74
Al 0.1145 0.3855 0.0000  1 Al 2.74

## Properties
energy above the most stable polymorph in this dataset = 84 meV/atom
D(E_F) = 0.55 states/eV per atom
size of the total moment = 0.000 μB per formula unit
formation energy from the elements = -0.04 eV/atom

SrAlPb | GGA-PBE | relaxed

a = 4.7034 Å, b = 4.7034 Å, c = 4.8824 Å
α = 90.00°, β = 90.00°, γ = 120.00°
Closest atoms and distances in Å follow each position.
Element x y z (fractional)
Pb 0.6667 0.3333 0.2304  3 Al 2.80
Sr 0.3333 0.6667 0.6750  3 Al 3.40, 3 Pb 3.48
Al 0.0000 0.0000 0.0946  3 Pb 2.80

## Properties
D(E_F) = 0.55 states/eV per atom
size of the total moment = 0.000 μB per formula unit
formation energy from the elements = -0.26 eV/atom

Sr2Al2Pb | GGA-PBE | relaxed

a = 5.1479 Å, b = 5.1479 Å, c = 7.4698 Å
α = 69.84°, β = 69.84°, γ = 90.00°
Closest atoms and distances in Å follow each position.
Element x y z (fractional)
Pb 0.0000 0.0000 0.0000  8 Al 3.84, 8 Sr 4.15
Sr 0.7500 0.2500 0.5000  4 Al 3.29, 4 Sr 3.64
Sr 0.2500 0.7500 0.5000  4 Al 3.29, 4 Sr 3.64
Al 0.4067 0.4067 0.1865  1 Al 2.43
Al 0.5933 0.5933 0.8135  1 Al 2.43

## Properties
D(E_F) = 0.46 states/eV per atom
size of the total moment = 0.000 μB per formula unit
formation energy from the elements = 0.15 eV/atom

SrAl2Pb | GGA-PBE | relaxed

a = 4.5095 Å, b = 4.4548 Å, c = 7.2064 Å
α = 51.08°, β = 90.00°, γ = 90.00°
Closest atoms and distances in Å follow each position.
Element x y z (fractional)
Pb 0.0000 0.3765 0.3681  6 Al 2.99-3.20
Sr 0.5000 0.9300 0.8244  7 Al 3.34-3.67, 2 Pb 3.41
Al 0.0000 0.2407 0.0115  2 Al 2.76, 2 Pb 2.99-3.00
Al 0.5000 0.9528 0.2960  2 Al 2.76

## Properties
D(E_F) = 0.55 states/eV per atom
size of the total moment = 0.000 μB per formula unit
formation energy from the elements = -0.07 eV/atom